YIn2Tc (PBEsol, optimized geometry); DOS at the Fermi energy = 3.205 states/eV per cell; ΔE_f = 165 meV/atom
1.0
3.1900 0.0000 0.0000
1.5950 2.7626 0.0000
1.5950 0.9209 9.5898
In Tc Y
2 1 1
Cartesian
1.5950 0.9209 2.7058
4.7850 2.7626 6.8839
3.1900 1.8417 4.7949
0.0000 0.0000 0.0000